[1]
The following is a DFT calculation (GGA-PBE) of crystalline Er2AgPb at its relaxed geometry.

Lattice parameters (Å, degrees): 6.1989 4.6589 7.7670 90.00 109.88 90.00
Last column: nearest neighbours and their distance in Å.
Atoms (fractional coordinates):
Er1 0.1904 0.2500 0.4343  3 Ag 3.05-3.08, 3 Pb 3.18-3.33
Er2 0.2155 0.2500 0.9128  3 Ag 3.08-3.31, 4 Pb 3.15-3.30
Er3 0.7845 0.7500 0.0872  3 Ag 3.08-3.31, 4 Pb 3.15-3.30
Er4 0.8096 0.7500 0.5657  3 Ag 3.05-3.08, 3 Pb 3.18-3.33
Ag1 0.3376 0.7500 0.7027  6 Er 3.05-3.31, 2 Pb 3.06
Ag2 0.6624 0.2500 0.2973  6 Er 3.05-3.31, 2 Pb 3.06
Pb1 0.3233 0.7500 0.2092  2 Ag 3.06, 7 Er 3.15-3.33
Pb2 0.6767 0.2500 0.7908  2 Ag 3.06, 7 Er 3.15-3.33

For the total magnetic moment, the calculation gives 0.000 μB/f.u. The crystal system is monoclinic. The value obtained for the formation energy is -0.38 eV per atom. The calculation puts the uncorrected energy at -4.300 eV per atom. Its space group is No. 11.



[2]
The following is a DFT calculation (GGA-PBE) of crystalline La2Cd2InRh5 at its relaxed geometry.

Lattice parameters (Å, degrees): 10.3183 10.3183 3.7524 90.00 90.00 90.00
Last column: nearest neighbours and their distance in Å.
Atoms (fractional coordinates):
La1 0.1670 0.3330 0.0000  3 Cd 2.92-3.11, 6 Rh 3.07-3.08
La2 0.3330 0.8330 0.0000  3 Cd 2.92-3.11, 6 Rh 3.07-3.08
La3 0.6670 0.1670 0.0000  3 Cd 2.92-3.11, 6 Rh 3.07-3.08
La4 0.8330 0.6670 0.0000  3 Cd 2.92-3.11, 6 Rh 3.07-3.08
Cd1 0.1329 0.6329 0.0000  6 Rh 2.70-2.75, 1 La 2.92
Cd2 0.3671 0.1329 0.0000  6 Rh 2.70-2.75, 1 La 2.92
Cd3 0.6329 0.8671 0.0000  6 Rh 2.70-2.75, 1 La 2.92
Cd4 0.8671 0.3671 0.0000  6 Rh 2.70-2.75, 1 La 2.92
In1 0.0000 0.0000 0.0000  8 Rh 2.82
In2 0.5000 0.5000 0.0000  8 Rh 2.82
Rh1 0.0000 0.5000 0.5000  4 Cd 2.70
Rh2 0.0292 0.7986 0.5000  2 Cd 2.75, 2 In 2.82, 2 Rh 2.97, 2 La 3.08
Rh3 0.2014 0.0292 0.5000  2 Cd 2.75, 2 In 2.82, 2 Rh 2.97, 2 La 3.08
Rh4 0.2986 0.5292 0.5000  2 Cd 2.75, 2 In 2.82, 2 Rh 2.97, 2 La 3.08
Rh5 0.4708 0.2986 0.5000  2 Cd 2.75, 2 In 2.82, 2 Rh 2.97, 2 La 3.08
Rh6 0.5000 0.0000 0.5000  4 Cd 2.70
Rh7 0.5292 0.7014 0.5000  2 Cd 2.75, 2 In 2.82, 2 Rh 2.97, 2 La 3.08
Rh8 0.7014 0.4708 0.5000  2 Cd 2.75, 2 In 2.82, 2 Rh 2.97, 2 La 3.08
Rh9 0.7986 0.9708 0.5000  2 Cd 2.75, 2 In 2.82, 2 Rh 2.97, 2 La 3.08
Rh10 0.9708 0.2014 0.5000  2 Cd 2.75, 2 In 2.82, 2 Rh 2.97, 2 La 3.08

For the total magnetic moment, the calculation gives 0.000 μB/f.u. The crystal system is tetragonal. The value obtained for the formation energy is -0.34 eV per atom. The calculation puts the uncorrected energy at -5.459 eV per atom. Its space group is No. 127.